No. 1
Compound: Sr2Nd2SbAsO
Source: OQMD
Functional: PBE
Structure: relaxed

## Properties
energy: -37.4 eV/f.u.
volume: 28.2 Å³/atom
total magnetic moment: 0.0 μB per cell

Cell: 9.405 9.405 9.405 Å, 150.83 150.83 41.72°
Element x y z (fractional)
Sr (0.000, 0.000, 0.000)
Sr (0.357, 0.357, 0.000)
Nd (0.191, 0.691, 0.500)
Nd (0.691, 0.191, 0.500)
Sb (0.555, 0.555, 0.000)
As (0.819, 0.819, 0.000)
O (0.213, 0.213, 0.000)

No. 2
Compound: NdScAsO
Source: OQMD
Functional: PBE
Structure: relaxed

## Properties
energy: -28.8 eV/f.u.
offset from the most stable computed form: 0.02 eV per formula unit
volume: 20.3 Å³/atom
total magnetic moment: 0.4 μB per cell

Cell: 4.258 4.258 8.943 Å, 90.00 90.00 90.00°
Element x y z (fractional)
Nd (0.250, 0.250, 0.119)
Nd (0.750, 0.750, 0.881)
Sc (0.250, 0.750, 0.500)
Sc (0.750, 0.250, 0.500)
As (0.250, 0.250, 0.683)
As (0.750, 0.750, 0.317)
O (0.250, 0.750, 0.000)
O (0.750, 0.250, 0.000)

No. 3
Compound: NdScAsO
Source: OQMD
Functional: PBE
Structure: relaxed

## Properties
energy: -28.9 eV/f.u.
offset from the most stable computed form: 0.00 eV per formula unit
volume: 19.3 Å³/atom
total magnetic moment: 0.4 μB per cell

Cell: 4.209 5.064 7.261 Å, 90.00 90.00 90.00°
Element x y z (fractional)
Nd (0.000, 0.152, 0.000)
Nd (0.000, 0.848, 0.500)
Sc (0.500, 0.344, 0.353)
Sc (0.500, 0.656, 0.853)
As (0.500, 0.157, 0.703)
As (0.500, 0.843, 0.203)
O (0.000, 0.328, 0.338)
O (0.000, 0.672, 0.838)

No. 4
Compound: NdScAsO
Source: OQMD
Functional: PBE
Structure: relaxed

## Properties
energy: -26.8 eV/f.u.
offset from the most stable computed form: 2.02 eV per formula unit
volume: 20.0 Å³/atom
total magnetic moment: 0.0 μB per cell

Cell: 4.252 4.252 8.835 Å, 90.00 90.00 90.00°
Element x y z (fractional)
Nd (0.250, 0.750, 0.000)
Nd (0.750, 0.250, 0.000)
Sc (0.250, 0.250, 0.430)
Sc (0.750, 0.750, 0.570)
As (0.250, 0.250, 0.769)
As (0.750, 0.750, 0.231)
O (0.250, 0.750, 0.500)
O (0.750, 0.250, 0.500)

Number 1: theoretical density 5.698 g/cm3. Number 2: theoretical density 5.739 g/cm3. Number 3: theoretical density 6.012 g/cm3. Number 4: theoretical density 5.825 g/cm3.